1.
First-principles (meta-GGA SCAN) data for a PBEsol-optimized structure of BTe2Se, as listed in Alexandria via LeMat-Bulk.

## Properties
Total energy ... -100.4 eV/f.u.
E_form (uncorrected) ... 0.395 eV per atom
Volume ... 178.7 Å³ per cell

```
BTe2Se
1.0
0.0000 5.3447 4.4382
3.7659 0.0000 4.4382
3.7659 5.3447 0.0000
B Te Se
2 4 2
Cartesian
0.0000 0.0000 0.0000
1.8829 2.6724 2.2191
3.6539 2.1895 3.6496
5.7608 4.8619 5.8688
3.8778 8.5000 3.6496
1.7710 5.8276 5.8688
3.7659 5.3447 3.6516
5.6488 8.0171 5.8707
```

2.
First-principles (meta-GGA SCAN) data for a PBEsol-optimized structure of BTeSe2, as listed in Alexandria via LeMat-Bulk.

## Properties
Total energy ... -79.9 eV/f.u.
E_form (uncorrected) ... 1.237 eV per atom
Volume ... 302.2 Å³ per cell

```
BTeSe2
1.0
6.7104 0.0000 0.0000
0.0000 6.7104 0.0000
0.0000 0.0000 6.7104
B Te Se
4 4 8
Cartesian
0.0000 0.0000 0.0000
0.0000 3.3552 3.3552
3.3552 0.0000 3.3552
3.3552 3.3552 0.0000
0.0000 0.0000 3.3552
0.0000 3.3552 0.0000
3.3552 0.0000 0.0000
3.3552 3.3552 3.3552
1.6776 1.6776 1.6776
1.6776 1.6776 5.0328
1.6776 5.0328 1.6776
1.6776 5.0328 5.0328
5.0328 1.6776 1.6776
5.0328 1.6776 5.0328
5.0328 5.0328 1.6776
5.0328 5.0328 5.0328
```

3.
First-principles (meta-GGA SCAN) data for a PBEsol-optimized structure of TiBSe2, as listed in Alexandria via LeMat-Bulk.

## Properties
Total energy ... -63.9 eV/f.u.
E_form (uncorrected) ... -0.078 eV per atom
Volume ... 283.1 Å³ per cell

```
TiBSe2
1.0
5.5899 0.0000 0.0000
0.0000 5.5899 0.0000
0.0000 0.0000 9.0585
Ti B Se
4 4 8
Cartesian
0.0000 0.0000 0.0000
0.0000 2.7949 2.2646
2.7949 0.0000 6.7939
2.7949 2.7949 4.5293
0.0000 0.0000 4.5293
0.0000 2.7949 6.7939
2.7949 0.0000 2.2646
2.7949 2.7949 0.0000
1.0223 1.3975 5.6616
1.3975 3.8173 7.9262
1.3975 4.5676 3.3969
1.7726 1.3975 1.1323
3.8173 4.1924 1.1323
4.1924 1.0223 3.3969
4.1924 1.7726 7.9262
4.5676 4.1924 5.6616
```

4.
First-principles (meta-GGA SCAN) data for a PBEsol-optimized structure of Ti3BSe, as listed in Alexandria via LeMat-Bulk.

## Properties
Total energy ... -71.4 eV/f.u.
E_form (uncorrected) ... 0.840 eV per atom
Volume ... 93.4 Å³ per cell

```
Ti3BSe
1.0
4.5375 0.0000 0.0000
0.0000 4.5375 0.0000
0.0000 0.0000 4.5375
Ti B Se
3 1 1
Cartesian
0.0000 0.0000 2.2687
0.0000 2.2687 0.0000
2.2687 0.0000 0.0000
2.2687 2.2687 2.2687
0.0000 0.0000 0.0000
```

5.
First-principles (meta-GGA SCAN) data for a PBEsol-optimized structure of TlBSe3, as listed in Alexandria via LeMat-Bulk.

## Properties
Total energy ... -141.5 eV/f.u.
E_form (uncorrected) ... -0.288 eV per atom
Volume ... 234.4 Å³ per cell

```
TlBSe3
1.0
3.6075 -5.9818 0.0000
3.6075 5.9818 0.0000
-2.8783 0.0000 5.4309
Tl B Se
2 2 6
Cartesian
2.1683 3.8521 2.7155
3.6075 -3.8521 0.0000
3.5443 0.2953 0.5465
2.1051 -0.2953 3.2620
0.3504 0.7470 2.9005
0.3942 2.0334 4.9156
1.7895 -0.7470 0.1850
1.8334 -2.0334 2.2001
3.7840 0.6372 2.5467
2.3448 -0.6372 5.2622
```

6.
First-principles (meta-GGA SCAN) data for a PBEsol-optimized structure of B2W2Se, as listed in Alexandria via LeMat-Bulk.

## Properties
Total energy ... -171.6 eV/f.u.
E_form (uncorrected) ... 0.550 eV per atom
Volume ... 122.5 Å³ per cell

```
B2W2Se
1.0
4.2064 0.0000 0.0000
0.0000 4.2064 0.0000
0.0000 0.0000 6.9248
B W Se
4 4 2
Cartesian
0.0000 0.0000 0.8477
0.0000 0.0000 6.0772
2.1032 2.1032 2.6147
2.1032 2.1032 4.3101
0.0000 2.1032 1.7312
0.0000 2.1032 5.1936
2.1032 0.0000 1.7312
2.1032 0.0000 5.1936
0.0000 0.0000 3.4624
2.1032 2.1032 0.0000
```